[1]
Entry from Alexandria via LeMat-Bulk: a crystal of BPtWSe2 relaxed with PBEsol (SCAN).

a b c (Å): 4.893 4.900 4.900
angles (deg): 90.00 90.00 90.00
Each line ends with the local moment (μB).
Element x y z (fractional)
Se (0.000, 0.500, 0.000)  0.04
Se (0.000, 0.000, 0.500)  0.04
W (0.500, 0.000, 0.000)  2.36
B (0.500, 0.500, 0.500)  0.01
Pt (0.000, 0.000, 0.000)  0.02

Formation energy from raw total energies (eV per atom): 2.089
Space-group type: P4/mmm
Energy (eV per atom): -35.405
Spin magnetization (μB/cell): 3.30
Crystal system: tetragonal
DOS(E_F) (states/eV per atom): 0.690

---

[2]
Entry from Alexandria via LeMat-Bulk: a crystal of YBPtSe2 relaxed with PBEsol (SCAN).

a b c (Å): 4.852 4.852 5.253
angles (deg): 90.00 90.00 90.00
Each line ends with the local moment (μB).
Element x y z (fractional)
B (0.500, 0.500, 0.500)  -0.32
Se (0.000, 0.500, 0.000)  0.09
Pt (0.000, 0.000, 0.000)  -0.01
Y (0.000, 0.000, 0.500)  -0.24
Se (0.500, 0.000, 0.000)  0.09

Formation energy from raw total energies (eV per atom): 0.630
Space-group type: P4/mmm
Energy (eV per atom): -28.494
Spin magnetization (μB/cell): 0.91
Crystal system: tetragonal
DOS(E_F) (states/eV per atom): 0.495

---

[3]
Entry from Alexandria via LeMat-Bulk: a crystal of SiB3Pt relaxed with PBEsol (SCAN).

a b c (Å): 4.100 4.100 4.100
angles (deg): 90.00 90.00 90.00
Element x y z (fractional)
B (0.000, 0.000, 0.500)
Si (0.500, 0.500, 0.500)
B (0.000, 0.500, 0.000)
Pt (0.000, 0.000, 0.000)
B (0.500, 0.000, 0.000)

Formation energy from raw total energies (eV per atom): 1.359
Space-group type: Pm-3m
Energy (eV per atom): -19.141
Spin magnetization (μB/cell): 0.00
Crystal system: cubic
DOS(E_F) (states/eV per atom): 0.337

---

[4]
Entry from Alexandria via LeMat-Bulk: a crystal of SiBPt3 relaxed with PBEsol (SCAN).

a b c (Å): 4.466 4.466 4.466
angles (deg): 90.00 90.00 90.00
Element x y z (fractional)
Pt (0.000, 0.500, 0.000)
B (0.500, 0.500, 0.500)
Si (0.000, 0.000, 0.000)
Pt (0.000, 0.000, 0.500)
Pt (0.500, 0.000, 0.000)

Formation energy from raw total energies (eV per atom): 1.136
Space-group type: Pm-3m
Energy (eV per atom): -44.469
Spin magnetization (μB/cell): 0.00
Crystal system: cubic
DOS(E_F) (states/eV per atom): 0.737

---

[5]
Entry from Alexandria via LeMat-Bulk: a crystal of SnBPt2 relaxed with PBEsol (SCAN).

a b c (Å): 4.375 4.375 4.375
angles (deg): 60.00 60.00 60.00
Element x y z (fractional)
Sn (0.500, 0.500, 0.500)
Pt (0.750, 0.750, 0.750)
Pt (0.250, 0.250, 0.250)
B (0.000, 0.000, 0.000)

Space-group type: Fm-3m
Energy (eV per atom): -45.376
Energy of formation (eV per formula unit): 2.23
Spin magnetization (μB/cell): 0.00
Crystal system: cubic
DOS(E_F) (states/eV per atom): 0.545

---

[6]
Entry from Alexandria via LeMat-Bulk: a crystal of Sr2SnBPt relaxed with PBEsol (SCAN).

a b c (Å): 4.943 5.725 5.725
angles (deg): 90.00 90.00 90.00
Each line ends with the local moment (μB).
Element x y z (fractional)
Pt (0.000, 0.000, 0.000)  0.01
B (0.500, 0.500, 0.500)  0.40
Sr (0.000, 0.000, 0.500)  0.01
Sr (0.000, 0.500, 0.000)  0.01
Sn (0.500, 0.000, 0.000)  -0.02

Space-group type: P4/mmm
Energy (eV per atom): -31.397
Energy of formation (eV per formula unit): 1.11
Spin magnetization (μB/cell): 1.23
Crystal system: tetragonal
DOS(E_F) (states/eV per atom): 0.475

---

Question: Which formula does entry 6 have?
Answer: Sr2SnBPt

---

Question: Look up the DOS(E_F) of the second one.
Answer: 0.495 states/eV per atom

---

Question: Among the records above, which one has the highest spin magnetization?
Answer: BPtWSe2